Entry from Alexandria: an optimized crystal structure of YCrN2O (PBE+U).

Properties
- Crystal system: tetragonal
- SG: No. 123
- E: -6.75 eV/atom
- V: 17.44 A^3/atom
- Mass density: 3.5 g/cm³

a = 4.5037 Å, b = 4.5037 Å, c = 4.2995 Å
α = 90.00°, β = 90.00°, γ = 90.00°
Closest atoms and distances in Å follow each position.
Fractional coordinates of all 5 atoms:
Y (0.0000, 0.0000, 0.0000)  2 O 2.15, 4 N 2.25
Cr (0.5000, 0.5000, 0.5000)  8 N 3.11, 4 O 3.18
N (0.0000, 0.5000, 0.0000)  2 Y 2.25
N (0.5000, 0.0000, 0.0000)  2 Y 2.25
O (0.0000, 0.0000, 0.5000)  2 Y 2.15